DFT (PBE) results for an optimized crystal structure of CuGe.

Geometry as POSCAR:
```
CuGe
1.0
1.323 -1.778 3.155
-1.728 0.566 3.400
-2.050 -2.837 1.617
Cu Ge
1 1
Cartesian
0.000 0.000 0.000
-0.614 -1.012 2.043
```

Computed properties:
Total energy   -7.28 eV per cell

DFT (PBE) results for an optimized crystal structure of Cu9Ge.

Geometry as POSCAR:
```
Cu9Ge
1.0
-2.324 1.027 -0.260
-1.077 -1.691 2.944
9.655 26.611 18.823
Cu Ge
18 2
Cartesian
0.186 0.512 0.362
-1.142 1.209 2.432
0.930 2.562 1.812
-0.400 3.254 3.879
1.670 4.603 3.256
0.342 5.298 5.324
2.413 6.649 4.703
1.089 7.358 6.782
3.161 8.713 6.163
4.793 17.565 14.002
6.865 18.920 13.384
5.542 19.629 15.462
7.613 20.981 14.841
6.284 21.675 16.909
8.354 23.024 16.287
7.025 23.717 18.353
9.096 25.070 17.733
7.769 25.766 19.803
1.865 9.495 8.293
6.090 16.783 11.872
```

Computed properties:
Energy relative to the lowest polymorph listed for this composition   6 meV/atom

DFT (PBE) results for an optimized crystal structure of HfCu2Ge.

Geometry as POSCAR:
```
HfCu2Ge
1.0
0.000 3.128 3.128
3.128 0.000 3.128
3.128 3.128 0.000
Cu Ge Hf
2 1 1
Cartesian
0.000 0.000 0.000
4.692 4.692 4.692
3.128 3.128 3.128
1.564 1.564 1.564
```

Computed properties:
Total energy   -22.48 eV per cell

Please write out number 3 again, unchanged.
DFT (PBE) results for an optimized crystal structure of HfCu2Ge.

Geometry as POSCAR:
```
HfCu2Ge
1.0
0.000 3.128 3.128
3.128 0.000 3.128
3.128 3.128 0.000
Cu Ge Hf
2 1 1
Cartesian
0.000 0.000 0.000
4.692 4.692 4.692
3.128 3.128 3.128
1.564 1.564 1.564
```

Computed properties:
Total energy   -22.48 eV per cell